Record 1
This record from Alexandria describes crystalline Pr6Ti3S14 at its relaxed geometry. The functional is PBE-GGA.

a = 10.2819 Å, b = 10.2819 Å, c = 5.8449 Å
α = 90.00°, β = 90.00°, γ = 120.00°
Closest atoms and distances in Å follow each position.
Space group P3 (No. 143)
Unique sites:
Pr 0.0261 0.4641 0.0000 [3 per cell]  8 S 2.85-3.13
Pr 0.3056 0.2016 0.4995 [3 per cell]  7 S 2.85-3.04
Ti 0.0000 0.0000 0.0836 [1 per cell]  4 S 2.26-2.27
Ti 0.3333 0.6667 0.5885 [1 per cell]  4 S 2.26-2.27
Ti 0.6667 0.3333 0.7311 [1 per cell]  6 S 2.54-2.56
S 0.0000 0.0000 0.6972 [1 per cell]  1 Ti 2.26
S 0.0826 0.2341 0.2270 [3 per cell]  1 Ti 2.27
S 0.1839 0.7509 0.7322 [3 per cell]  1 Ti 2.27
S 0.3333 0.6667 0.2025 [1 per cell]  1 Ti 2.26
S 0.4269 0.2452 0.9677 [3 per cell]  1 Ti 2.56, 1 Pr 2.85
S 0.5121 0.0934 0.5029 [3 per cell]  1 Ti 2.54, 1 Pr 2.85

Output
As for the total moment: 0.082 μB/atom. As for the electronic total energy: -0.2414 hartree per atom.


Record 2
This record from Alexandria describes crystalline PrTiS2 at its relaxed geometry. The functional is PBE-GGA.

a = 4.1076 Å, b = 4.1076 Å, c = 23.5144 Å
α = 90.00°, β = 90.00°, γ = 120.00°
Closest atoms and distances in Å follow each position.
Space group R-3m (No. 166, hexagonal axes)
Unique sites:
Pr 0.0000 0.0000 0.0000 [3 per cell]  6 S 2.84
Ti 0.0000 0.0000 0.5000 [3 per cell]  2 S 2.35
S 0.0000 0.0000 0.4000 [6 per cell]  1 Ti 2.35

Output
As for the total moment: 0.429 μB/atom. As for the electronic total energy: -0.2295 hartree per atom.


Record 3
This record from Alexandria describes crystalline Pr3TiTl3S8 at its relaxed geometry. The functional is PBE-GGA.

a = 8.1236 Å, b = 8.1236 Å, c = 22.6368 Å
α = 90.00°, β = 90.00°, γ = 120.00°
Closest atoms and distances in Å follow each position.
Space group R-3m (No. 166, hexagonal axes)
Unique sites:
Pr 0.0000 0.5000 0.0000 [9 per cell]  6 S 2.83-2.88
Ti 0.0000 0.0000 0.0000 [3 per cell]  6 S 2.51
Tl 0.0000 0.5000 0.5000 [9 per cell]  6 S 3.21-3.23
S 0.0000 0.0000 0.2635 [6 per cell]  3 Pr 2.83
S 0.0394 0.5197 0.7298 [18 per cell]  1 Ti 2.51

Output
As for the total moment: 0.000 μB/atom. As for the electronic total energy: -0.2031 hartree per atom.


Record 4
This record from Alexandria describes crystalline Pr2TiTl3S6 at its relaxed geometry. The functional is PBE-GGA.

a = 6.9761 Å, b = 12.0624 Å, c = 7.8501 Å
α = 90.00°, β = 107.34°, γ = 90.00°
Closest atoms and distances in Å follow each position.
Space group C2/m (No. 12)
Unique sites:
Pr 0.0000 0.1655 0.0000 [4 per cell]  6 S 2.86-2.87
Ti 0.0000 0.5000 0.0000 [2 per cell]  6 S 2.54-2.62
Tl 0.0000 0.0000 0.5000 [2 per cell]  6 S 3.18-3.36
Tl 0.0000 0.3284 0.5000 [4 per cell]  6 S 3.17-3.40
S 0.2141 0.3503 0.1945 [8 per cell]  1 Ti 2.54
S 0.2340 0.5000 0.7937 [4 per cell]  1 Ti 2.62, 2 Pr 2.87

Output
As for the total moment: 0.084 μB/atom. As for the electronic total energy: -0.1963 hartree per atom.


Record 5
This record from Alexandria describes crystalline PrTiTlS4 at its relaxed geometry. The functional is PBE-GGA.

a = 6.8475 Å, b = 6.6847 Å, c = 8.8745 Å
α = 90.00°, β = 107.54°, γ = 90.00°
Closest atoms and distances in Å follow each position.
Space group P2_1/m (No. 11)
Unique sites:
Pr 0.2243 0.2500 0.0530 [2 per cell]  6 S 2.89-2.95
Ti 0.2256 0.7500 0.8204 [2 per cell]  4 S 2.24-2.27
Tl 0.2846 0.2500 0.5680 [2 per cell]  8 S 3.21-3.59
S 0.9998 0.0066 0.7858 [4 per cell]  1 Ti 2.27
S 0.4236 0.7500 0.0727 [2 per cell]  1 Ti 2.24
S 0.4303 0.7500 0.6633 [2 per cell]  1 Ti 2.26

Output
As for the total moment: 0.000 μB/atom. As for the electronic total energy: -0.2156 hartree per atom.


Record 6
This record from Alexandria describes crystalline Pr5TlS4 at its relaxed geometry. The functional is PBE-GGA.

a = 13.9929 Å, b = 4.1425 Å, c = 10.4291 Å
α = 90.00°, β = 119.92°, γ = 90.00°
Closest atoms and distances in Å follow each position.
Space group C2/m (No. 12)
Unique sites:
Pr 0.0000 0.0000 0.0000 [2 per cell]  6 S 2.93-2.94
Pr 0.1139 0.5000 0.3916 [4 per cell]  4 S 2.88-3.02, 2 Tl 3.15
Pr 0.2038 0.0000 0.8147 [4 per cell]  5 S 2.91-2.95, 1 Tl 3.09
Tl 0.0000 0.0000 0.5000 [2 per cell]  6 Pr 3.09-3.15
S 0.0952 0.5000 0.8986 [4 per cell]  6 Pr 2.91-2.98
S 0.2030 0.0000 0.2895 [4 per cell]  6 Pr 2.88-3.02

Output
As for the total moment: 0.000 μB/atom. As for the electronic total energy: -0.2177 hartree per atom.


Question: What is the total moment in the second record?
Answer: 0.429 μB/atom